Record 1
TiInGa2I6: relaxed, GGA-PBE.

Structure (POSCAR):
```
TiInGa2I6
1.0
7.998 0.001 0.000
4.000 6.926 0.000
3.999 2.309 7.243
I Ga In Ti
6 2 1 1
direct
0.244 0.970 0.229
0.970 0.557 0.229
0.697 0.127 0.776
0.557 0.244 0.229
0.128 0.400 0.776
0.400 0.697 0.776
0.003 0.003 0.991
0.515 0.515 0.456
0.821 0.821 0.538
0.329 0.329 0.014
```

Computed properties:
SG	R3, No. 146
spin magnetization	0.100	μB per atom
ΔE_f (raw)	-0.499	eV/atom

---

Record 2
TiIn2GaI6: relaxed, GGA-PBE.

Structure (POSCAR):
```
TiIn2GaI6
1.0
-3.520 0.978 -7.411
0.761 -5.888 -5.746
-6.709 -4.677 -2.038
Ti I In Ga
1 6 2 1
direct
0.325 0.325 0.025
0.110 0.452 0.779
0.001 0.558 0.251
0.452 0.659 0.779
0.558 0.190 0.251
0.659 0.110 0.779
0.190 0.001 0.251
0.019 0.019 0.944
0.530 0.530 0.409
0.818 0.818 0.547
```

Computed properties:
SG	R3, No. 146
spin magnetization	0.100	μB per atom
ΔE_f (raw)	-0.520	eV/atom

---

Record 3
Tl4In3GaI8: relaxed, GGA-PBE.

Structure (POSCAR):
```
Tl4In3GaI8
1.0
-8.795 0.499 -4.556
-4.270 -4.466 7.755
5.359 8.235 1.351
Ga I In Tl
1 8 3 4
direct
0.000 0.500 0.000
0.757 0.259 0.513
0.754 0.741 0.998
0.757 0.259 0.002
0.246 0.259 0.002
0.251 0.253 0.502
0.243 0.741 0.998
0.243 0.741 0.487
0.749 0.747 0.498
0.500 0.500 0.000
0.500 0.500 0.500
0.000 0.500 0.500
0.000 0.000 0.500
0.500 0.000 0.000
0.500 0.000 0.500
0.000 0.000 0.000
```

Computed properties:
SG	R-3m, No. 166
spin magnetization	0.000	μB per atom
ΔE_f (raw)	-0.542	eV/atom